No. 1
Below is a relaxed structure of TiBeV2, with properties calculated at the PBE level.

space-group type: No. 122
energy: -7.070 eV per atom

a = 5.3145 Å, b = 5.3145 Å, c = 5.3145 Å
α = 101.94°, β = 101.94°, γ = 125.90°
With the nearest neighbours (Å) after each atom.
Fractional coordinates of all 8 atoms:
Ti 0.0000 0.0000 0.0000  2 Be 2.42, 4 V 2.58
Ti 0.7500 0.2500 0.5000  2 Be 2.42, 4 V 2.58
Be 0.2500 0.7500 0.5000  4 V 2.31, 2 Ti 2.42
Be 0.5000 0.5000 0.0000  4 V 2.31, 2 Ti 2.42
V 0.1546 0.6250 0.0296  2 Be 2.31, 2 V 2.45, 2 Ti 2.58
V 0.3750 0.4046 0.5296  2 Be 2.31, 2 V 2.45, 2 Ti 2.58
V 0.5954 0.1250 0.9704  2 Be 2.31, 2 V 2.45, 2 Ti 2.58
V 0.8750 0.8454 0.4704  2 Be 2.31, 2 V 2.45, 2 Ti 2.58

=====

No. 2
Below is a relaxed structure of TiBeV2, with properties calculated at the PBE level.

space-group type: No. 123
energy: -7.384 eV per atom

a = 3.0611 Å, b = 3.0611 Å, c = 5.5496 Å
α = 90.00°, β = 90.00°, γ = 90.00°
With the nearest neighbours (Å) after each atom.
Fractional coordinates of all 4 atoms:
Ti 0.0000 0.0000 0.0000  8 V 2.69, 2 Be 2.77
Be 0.0000 0.0000 0.5000  8 V 2.47
V 0.5000 0.5000 0.2867  1 V 2.37, 4 Be 2.47
V 0.5000 0.5000 0.7133  1 V 2.37, 4 Be 2.47

=====

No. 3
Below is a relaxed structure of TiBe3V, with properties calculated at the PBE level.

space-group type: No. 221
excess energy over the best structure of this formula in the dataset: 12.161 kcal/mol of atoms

a = 4.1983 Å, b = 4.1983 Å, c = 4.1983 Å
α = 90.00°, β = 90.00°, γ = 90.00°
With the nearest neighbours (Å) after each atom.
Fractional coordinates of all 5 atoms:
Ti 0.0000 0.0000 0.0000  6 Be 2.10
Be 0.0000 0.0000 0.5000  2 Ti 2.10
Be 0.0000 0.5000 0.0000  2 Ti 2.10
Be 0.5000 0.0000 0.0000  2 Ti 2.10
V 0.5000 0.5000 0.5000  12 Be 2.97

=====

No. 4
Below is a relaxed structure of TiBeV2, with properties calculated at the PBE level.

space-group type: No. 123
energy: -7.440 eV per atom

a = 3.6080 Å, b = 3.6080 Å, c = 4.0200 Å
α = 90.00°, β = 90.00°, γ = 90.00°
With the nearest neighbours (Å) after each atom.
Fractional coordinates of all 4 atoms:
Ti 0.0000 0.0000 0.0000  4 Be 2.55, 8 V 2.70
Be 0.5000 0.5000 0.0000  4 Ti 2.55, 8 V 2.70
V 0.0000 0.5000 0.5000  4 V 2.55, 4 Be 2.70, 4 Ti 2.70
V 0.5000 0.0000 0.5000  4 V 2.55, 4 Be 2.70, 4 Ti 2.70

=====

No. 5
Below is a relaxed structure of Ti2BeV2, with properties calculated at the PBE level.

space-group type: No. 127
energy: -7.389 eV per atom

a = 6.3189 Å, b = 6.3189 Å, c = 3.6135 Å
α = 90.00°, β = 90.00°, γ = 90.00°
With the nearest neighbours (Å) after each atom.
Fractional coordinates of all 10 atoms:
Ti 0.1697 0.3303 0.0000  6 V 2.51-2.65
Ti 0.3303 0.8303 0.0000  6 V 2.51-2.65
Ti 0.6697 0.1697 0.0000  6 V 2.51-2.65
Ti 0.8303 0.6697 0.0000  6 V 2.51-2.65
Be 0.0000 0.0000 0.5000  4 V 2.46
Be 0.5000 0.5000 0.5000  4 V 2.46
V 0.1360 0.6360 0.5000  1 V 2.43, 2 Be 2.46, 6 Ti 2.51-2.65
V 0.3640 0.1360 0.5000  1 V 2.43, 2 Be 2.46, 6 Ti 2.51-2.65
V 0.6360 0.8640 0.5000  1 V 2.43, 2 Be 2.46, 6 Ti 2.51-2.65
V 0.8640 0.3640 0.5000  1 V 2.43, 2 Be 2.46, 6 Ti 2.51-2.65

=====

No. 6
Below is a relaxed structure of TiBe3V, with properties calculated at the PBE level.

space-group type: No. 221
excess energy over the best structure of this formula in the dataset: 0.000 kcal/mol of atoms

a = 4.0737 Å, b = 4.0737 Å, c = 4.0737 Å
α = 90.00°, β = 90.00°, γ = 90.00°
With the nearest neighbours (Å) after each atom.
Fractional coordinates of all 5 atoms:
Ti 0.0000 0.0000 0.0000  12 Be 2.88
Be 0.0000 0.5000 0.5000  2 V 2.04
Be 0.5000 0.0000 0.5000  2 V 2.04
Be 0.5000 0.5000 0.0000  2 V 2.04
V 0.5000 0.5000 0.5000  6 Be 2.04

=====

No. 7
Below is a relaxed structure of Ti2Be9V, with properties calculated at the PBE level.

space-group type: No. 166
energy: -5.047 eV per atom

a = 7.4527 Å, b = 7.4527 Å, c = 7.4527 Å
α = 34.57°, β = 34.57°, γ = 34.57°
With the nearest neighbours (Å) after each atom.
Fractional coordinates of all 12 atoms:
Ti 0.1413 0.1413 0.1413  12 Be 2.56-2.67, 3 Ti 2.77
Ti 0.8587 0.8587 0.8587  12 Be 2.56-2.67, 3 Ti 2.77
Be 0.0779 0.5813 0.5813  7 Be 2.11-2.23
Be 0.3339 0.3339 0.3339  6 Be 2.11-2.12
Be 0.4187 0.4187 0.9221  7 Be 2.11-2.23
Be 0.4187 0.9221 0.4187  7 Be 2.11-2.23
Be 0.5000 0.5000 0.5000  6 Be 2.23
Be 0.5813 0.0779 0.5813  7 Be 2.11-2.23
Be 0.5813 0.5813 0.0779  7 Be 2.11-2.23
Be 0.6661 0.6661 0.6661  6 Be 2.11-2.12
Be 0.9221 0.4187 0.4187  7 Be 2.11-2.23
V 0.0000 0.0000 0.0000  18 Be 2.56-2.78

=====

No. 8
Below is a relaxed structure of Ti2Be2V, with properties calculated at the PBE level.

space-group type: No. 127
energy: -6.466 eV per atom

a = 6.6129 Å, b = 6.6129 Å, c = 2.9848 Å
α = 90.00°, β = 90.00°, γ = 90.00°
With the nearest neighbours (Å) after each atom.
Fractional coordinates of all 10 atoms:
Ti 0.1816 0.3184 0.0000  6 Be 2.43-2.50
Ti 0.3184 0.8184 0.0000  6 Be 2.43-2.50
Ti 0.6816 0.1816 0.0000  6 Be 2.43-2.50
Ti 0.8184 0.6816 0.0000  6 Be 2.43-2.50
Be 0.1139 0.6139 0.5000  1 Be 2.13
Be 0.3861 0.1139 0.5000  1 Be 2.13
Be 0.6139 0.8861 0.5000  1 Be 2.13
Be 0.8861 0.3861 0.5000  1 Be 2.13
V 0.0000 0.0000 0.5000  4 Be 2.66, 8 Ti 2.85
V 0.5000 0.5000 0.5000  4 Be 2.66, 8 Ti 2.85